No. 1
# KAgP2Pt4

A geometry-optimized KAgP2Pt4 structure (PBE, Alexandria via LeMat-Bulk).

a = 4.0270 Å, b = 4.0270 Å, c = 10.3192 Å
α = 90.00°, β = 90.00°, γ = 90.00°
Fractional coordinates of all 8 atoms:
K1 0.0000 0.0000 0.5000
P1 0.5000 0.5000 0.3048
Pt1 0.0000 0.5000 0.1958
P2 0.5000 0.5000 0.6952
Pt2 0.0000 0.5000 0.8042
Pt3 0.5000 0.0000 0.1958
Ag1 0.0000 0.0000 0.0000
Pt4 0.5000 0.0000 0.8042

Summary:
electronic total energy = -41.863 eV/cell
energy of formation from the pure elements = -366 meV/atom
DOS at the Fermi energy = 1.767 states/eV per cell
space group = P4/mmm (123)


No. 2
# YBeW2

A geometry-optimized YBeW2 structure (PBE, Alexandria via LeMat-Bulk).

a = 4.6791 Å, b = 3.8663 Å, c = 3.8663 Å
α = 90.00°, β = 90.00°, γ = 90.00°
Fractional coordinates of all 4 atoms:
Be1 0.5000 0.0000 0.5000
W1 0.0000 0.5000 0.5000
Y1 0.5000 0.5000 0.0000
W2 0.0000 0.0000 0.0000

Summary:
electronic total energy = -33.814 eV/cell
energy of formation from the pure elements = 571 meV/atom
DOS at the Fermi energy = 2.453 states/eV per cell
space group = P4/mmm (123)


No. 3
# Cr2CoSb

A geometry-optimized Cr2CoSb structure (PBE, Alexandria via LeMat-Bulk).

a = 4.7912 Å, b = 4.7912 Å, c = 4.7912 Å
α = 135.35°, β = 135.40°, γ = 64.95°
Fractional coordinates of all 4 atoms:
Sb1 0.7500 0.2500 0.5000
Co1 0.2500 0.7500 0.5000
Cr1 0.5000 0.5000 0.0000
Cr2 0.0000 0.0000 0.0000

Summary:
electronic total energy = -29.606 eV/cell
formation energy from raw total energies = 217 meV per atom
DOS at the Fermi energy = 4.614 states/eV per cell
space group = I4/mmm (139)


No. 4
# TlInAs2O8

A geometry-optimized TlInAs2O8 structure (PBE, Alexandria via LeMat-Bulk).

a = 5.9420 Å, b = 5.9420 Å, c = 5.9420 Å
α = 106.24°, β = 106.24°, γ = 116.15°
Fractional coordinates of all 12 atoms:
O1 0.3872 0.0704 0.3167
As1 0.5000 0.5000 0.0000
In1 0.0000 0.0000 0.0000
O2 0.3129 0.1357 0.8228
O3 0.8643 0.6871 0.1772
O4 0.5100 0.6871 0.8228
O5 0.3129 0.4900 0.1772
O6 0.9296 0.6128 0.6833
Tl1 0.2500 0.7500 0.5000
O7 0.7537 0.0704 0.6833
As2 0.7500 0.2500 0.5000
O8 0.9296 0.2463 0.3167

Summary:
electronic total energy = -67.534 eV/cell
formation energy from raw total energies = -1122 meV per atom
space group = I-4m2 (119)


No. 5
# LiAcMg2Hg4

A geometry-optimized LiAcMg2Hg4 structure (PBE, Alexandria via LeMat-Bulk).

a = 4.8643 Å, b = 4.8643 Å, c = 9.8473 Å
α = 75.70°, β = 75.70°, γ = 60.00°
Fractional coordinates of all 8 atoms:
Li1 0.5000 0.5000 0.5000
Hg1 0.8683 0.8683 0.3952
Mg1 0.2370 0.2370 0.2891
Hg2 0.3966 0.3966 0.8102
Hg3 0.6034 0.6034 0.1898
Ac1 0.0000 0.0000 0.0000
Hg4 0.1317 0.1317 0.6048
Mg2 0.7630 0.7630 0.7109

Summary:
electronic total energy = -13.334 eV/cell
energy of formation from the pure elements = -364 meV/atom
DOS at the Fermi energy = 3.800 states/eV per cell
space group = R-3m (166)


No. 6
# Tb7Pm4Th

A geometry-optimized Tb7Pm4Th structure (PBE, Alexandria via LeMat-Bulk).

a = 7.2380 Å, b = 9.5700 Å, c = 8.9663 Å
α = 81.07°, β = 89.92°, γ = 40.94°
Fractional coordinates of all 12 atoms:
Tb1 0.2564 0.5000 0.0006
Pm1 0.7228 0.7771 0.6649
Tb2 0.5000 0.0000 0.0000
Pm2 0.5237 0.7229 0.3307
Pm3 0.2772 0.2229 0.3351
Tb3 0.7436 0.5000 0.9994
Tb4 0.0293 0.7244 0.3289
Pm4 0.4763 0.2771 0.6693
Tb5 0.9707 0.2756 0.6711
Th1 0.0000 0.0000 0.0000
Tb6 0.7836 0.2166 0.3283
Tb7 0.2164 0.7834 0.6717

Summary:
electronic total energy = -58.659 eV/cell
energy of formation from the pure elements = 15 meV/atom
DOS at the Fermi energy = 17.710 states/eV per cell
space group = P-1 (2)


No. 7
# HfTh2Os

A geometry-optimized HfTh2Os structure (PBE, Alexandria via LeMat-Bulk).

a = 3.7493 Å, b = 3.7493 Å, c = 10.1023 Å
α = 79.31°, β = 79.31°, γ = 60.00°
Fractional coordinates of all 4 atoms:
Th1 0.8934 0.8934 0.3198
Os1 0.5000 0.5000 0.5000
Hf1 0.0000 0.0000 0.0000
Th2 0.1066 0.1066 0.6802

Summary:
electronic total energy = -33.813 eV/cell
energy of formation from the pure elements = 552 meV/atom
DOS at the Fermi energy = 5.653 states/eV per cell
space group = R-3m (166)


No. 8
# PaGePd4

A geometry-optimized PaGePd4 structure (PBE, Alexandria via LeMat-Bulk).

a = 5.0192 Å, b = 7.7454 Å, c = 5.5303 Å
α = 90.00°, β = 90.00°, γ = 102.01°
Fractional coordinates of all 12 atoms:
Ge1 0.8445 0.0100 0.7500
Pa1 0.2966 0.6259 0.2500
Pd1 0.6602 0.0326 0.2500
Pd2 0.3398 0.9674 0.7500
Pd3 0.7238 0.3990 0.2500
Pd4 0.1784 0.2705 0.4984
Pa2 0.7034 0.3741 0.7500
Pd5 0.1784 0.2705 0.0016
Ge2 0.1555 0.9900 0.2500
Pd6 0.8216 0.7295 0.5016
Pd7 0.2762 0.6010 0.7500
Pd8 0.8216 0.7295 0.9984

Summary:
electronic total energy = -77.068 eV/cell
energy of formation from the pure elements = -608 meV/atom
DOS at the Fermi energy = 7.288 states/eV per cell
space group = P2_1/m (11)